Record 1
Entry from Alexandria via LeMat-Bulk: a geometry-optimized GdInPdRh structure (PBE).

## Properties
Energy of formation from the pure elements, eV/atom: -0.714

Lattice parameters (Å, degrees): 6.768 6.768 6.768 90.00 90.00 90.00
Space group F-43m (No. 216)
Symmetry-distinct sites (fractional):
Gd 0.000 0.000 0.000 [4 per cell]
In 0.000 0.000 0.500 [4 per cell]
Pd 0.250 0.250 0.250 [4 per cell]
Rh 0.250 0.250 0.750 [4 per cell]

Record 2
Entry from Alexandria via LeMat-Bulk: a geometry-optimized GdInPdRu structure (PBE).

## Properties
Energy of formation from the pure elements, eV/atom: -0.461

Lattice parameters (Å, degrees): 6.734 6.734 6.734 90.00 90.00 90.00
Space group F-43m (No. 216)
Symmetry-distinct sites (fractional):
Gd 0.000 0.000 0.000 [4 per cell]
In 0.000 0.000 0.500 [4 per cell]
Pd 0.250 0.250 0.750 [4 per cell]
Ru 0.250 0.250 0.250 [4 per cell]

Record 3
Entry from Alexandria via LeMat-Bulk: a geometry-optimized SmGdInPd structure (PBE).

## Properties
Energy of formation from the pure elements, eV/atom: -0.573

Lattice parameters (Å, degrees): 7.404 7.404 7.404 90.00 90.00 90.00
Space group F-43m (No. 216)
Symmetry-distinct sites (fractional):
Sm 0.000 0.000 0.000 [4 per cell]
Gd 0.000 0.000 0.500 [4 per cell]
In 0.250 0.250 0.750 [4 per cell]
Pd 0.250 0.250 0.250 [4 per cell]

Record 4
Entry from Alexandria via LeMat-Bulk: a geometry-optimized GdInSnPd structure (PBE).

## Properties
Energy of formation from the pure elements, eV/atom: -0.487

Lattice parameters (Å, degrees): 7.153 7.153 7.153 90.00 90.00 90.00
Space group F-43m (No. 216)
Symmetry-distinct sites (fractional):
Gd 0.000 0.000 0.000 [4 per cell]
In 0.000 0.000 0.500 [4 per cell]
Sn 0.250 0.250 0.250 [4 per cell]
Pd 0.250 0.250 0.750 [4 per cell]

Record 5
Entry from Alexandria via LeMat-Bulk: a geometry-optimized SrGdInPd structure (PBE).

## Properties
Energy of formation from the pure elements, eV/atom: -0.447

Lattice parameters (Å, degrees): 7.557 7.557 7.557 90.00 90.00 90.00
Space group F-43m (No. 216)
Symmetry-distinct sites (fractional):
Sr 0.000 0.000 0.000 [4 per cell]
Gd 0.000 0.000 0.500 [4 per cell]
In 0.250 0.250 0.750 [4 per cell]
Pd 0.250 0.250 0.250 [4 per cell]

Record 6
Entry from Alexandria via LeMat-Bulk: a geometry-optimized TbGdInPd structure (PBE).

## Properties
Energy of formation from the pure elements, eV/atom: -0.589

Lattice parameters (Å, degrees): 7.350 7.350 7.350 90.00 90.00 90.00
Space group F-43m (No. 216)
Symmetry-distinct sites (fractional):
Tb 0.000 0.000 0.000 [4 per cell]
Gd 0.000 0.000 0.500 [4 per cell]
In 0.250 0.250 0.750 [4 per cell]
Pd 0.250 0.250 0.250 [4 per cell]

Record 7
Entry from Alexandria via LeMat-Bulk: a geometry-optimized GdThInPd structure (PBE).

## Properties
Energy of formation from the pure elements, eV/atom: -0.446

Lattice parameters (Å, degrees): 7.452 7.452 7.452 90.00 90.00 90.00
Space group F-43m (No. 216)
Symmetry-distinct sites (fractional):
Gd 0.000 0.000 0.000 [4 per cell]
Th 0.000 0.000 0.500 [4 per cell]
In 0.250 0.250 0.750 [4 per cell]
Pd 0.250 0.250 0.250 [4 per cell]

Record 8
Entry from Alexandria via LeMat-Bulk: a geometry-optimized GdTmInPd structure (PBE).

## Properties
Energy of formation from the pure elements, eV/atom: -0.600

Lattice parameters (Å, degrees): 7.287 7.287 7.287 90.00 90.00 90.00
Space group F-43m (No. 216)
Symmetry-distinct sites (fractional):
Gd 0.000 0.000 0.000 [4 per cell]
Tm 0.000 0.000 0.500 [4 per cell]
In 0.250 0.250 0.250 [4 per cell]
Pd 0.250 0.250 0.750 [4 per cell]

Record 9
Entry from Alexandria via LeMat-Bulk: a geometry-optimized GdYInPd structure (PBE).

## Properties
Energy of formation from the pure elements, eV/atom: -0.602

Lattice parameters (Å, degrees): 7.343 7.343 7.343 90.00 90.00 90.00
Space group F-43m (No. 216)
Symmetry-distinct sites (fractional):
Gd 0.000 0.000 0.000 [4 per cell]
Y 0.000 0.000 0.500 [4 per cell]
In 0.250 0.250 0.750 [4 per cell]
Pd 0.250 0.250 0.250 [4 per cell]

Record 10
Entry from Alexandria via LeMat-Bulk: a geometry-optimized PmGd2In structure (PBE).

## Properties
Energy of formation from the pure elements, eV/atom: -0.239
Energy above the lowest structure with this stoichiometry, kJ per mole of atoms: 5.45

Lattice parameters (Å, degrees): 3.618 3.618 9.328 90.00 90.00 90.00
Space group P4/mmm (No. 123)
Symmetry-distinct sites (fractional):
Pm 0.000 0.000 0.000 [1 per cell]
Gd 0.500 0.500 0.275 [2 per cell]
In 0.000 0.000 0.500 [1 per cell]

Record 11
Entry from Alexandria via LeMat-Bulk: a geometry-optimized PmGd2In structure (PBE).

## Properties
Energy of formation from the pure elements, eV/atom: -0.148
Energy above the lowest structure with this stoichiometry, kJ per mole of atoms: 14.23

Lattice parameters (Å, degrees): 7.801 7.801 7.801 90.00 90.00 90.00
Space group Fm-3m (No. 225)
Symmetry-distinct sites (fractional):
Pm 0.000 0.000 0.000 [4 per cell]
Gd 0.250 0.250 0.250 [8 per cell]
In 0.000 0.000 0.500 [4 per cell]

Record 12
Entry from Alexandria via LeMat-Bulk: a geometry-optimized PmGd2In structure (PBE).

## Properties
Energy of formation from the pure elements, eV/atom: -0.295
Energy above the lowest structure with this stoichiometry, kJ per mole of atoms: 0.00

Lattice parameters (Å, degrees): 4.897 4.897 4.927 90.00 90.00 90.00
Space group P4/mmm (No. 123)
Symmetry-distinct sites (fractional):
Pm 0.000 0.000 0.000 [1 per cell]
Gd 0.000 0.500 0.500 [2 per cell]
In 0.500 0.500 0.000 [1 per cell]

Record 13
Entry from Alexandria via LeMat-Bulk: a geometry-optimized PmGd2In structure (PBE).

## Properties
Energy of formation from the pure elements, eV/atom: 0.101
Energy above the lowest structure with this stoichiometry, kJ per mole of atoms: 38.22

Lattice parameters (Å, degrees): 3.5379 3.5379 36.5967 90.00 90.00 120.00
Space group R-3m (No. 166, hexagonal axes)
Symmetry-distinct sites (fractional):
Pm 0.0000 0.0000 0.0000 [3 per cell]
Gd 0.0000 0.0000 0.4123 [6 per cell]
In 0.0000 0.0000 0.5000 [3 per cell]

Record 14
Entry from Alexandria via LeMat-Bulk: a geometry-optimized Pm2GdIn structure (PBE).

## Properties
Energy of formation from the pure elements, eV/atom: -0.290
Energy above the lowest structure with this stoichiometry, kJ per mole of atoms: 0.00

Lattice parameters (Å, degrees): 4.943 4.943 4.914 90.00 90.00 90.00
Space group P4/mmm (No. 123)
Symmetry-distinct sites (fractional):
Pm 0.000 0.500 0.000 [2 per cell]
Gd 0.000 0.000 0.500 [1 per cell]
In 0.500 0.500 0.500 [1 per cell]

Record 15
Entry from Alexandria via LeMat-Bulk: a geometry-optimized PmGdIn structure (PBE).

## Properties
Energy of formation from the pure elements, eV/atom: -0.247
Energy above the lowest structure with this stoichiometry, kJ per mole of atoms: 6.50

Lattice parameters (Å, degrees): 5.2931 5.2931 3.6663 90.00 90.00 120.00
Space group P3m1 (No. 156)
Symmetry-distinct sites (fractional):
Pm 0.0000 0.0000 0.0000 [1 per cell]
Gd 0.6667 0.3333 0.4253 [1 per cell]
In 0.3333 0.6667 0.6864 [1 per cell]

Record 16
Entry from Alexandria via LeMat-Bulk: a geometry-optimized PmGdIn structure (PBE).

## Properties
Energy of formation from the pure elements, eV/atom: -0.314
Energy above the lowest structure with this stoichiometry, kJ per mole of atoms: 0.00

Lattice parameters (Å, degrees): 3.760 3.760 12.846 90.00 90.00 90.00
Space group I4mm (No. 107)
Symmetry-distinct sites (fractional):
Pm 0.000 0.000 0.000 [2 per cell]
Gd 0.000 0.000 0.310 [2 per cell]
In 0.000 0.000 0.658 [2 per cell]

Record 17
Entry from Alexandria via LeMat-Bulk: a geometry-optimized PmGdIn structure (PBE).

## Properties
Energy of formation from the pure elements, eV/atom: -0.133
Energy above the lowest structure with this stoichiometry, kJ per mole of atoms: 17.46

Lattice parameters (Å, degrees): 7.465 7.465 7.465 90.00 90.00 90.00
Space group F-43m (No. 216)
Symmetry-distinct sites (fractional):
Pm 0.000 0.000 0.000 [4 per cell]
Gd 0.000 0.000 0.500 [4 per cell]
In 0.250 0.250 0.250 [4 per cell]

Record 18
Entry from Alexandria via LeMat-Bulk: a geometry-optimized Pm2GdIn structure (PBE).

## Properties
Energy of formation from the pure elements, eV/atom: -0.173
Energy above the lowest structure with this stoichiometry, kJ per mole of atoms: 11.21

Lattice parameters (Å, degrees): 7.840 7.840 7.840 90.00 90.00 90.00
Space group Fm-3m (No. 225)
Symmetry-distinct sites (fractional):
Pm 0.250 0.250 0.250 [8 per cell]
Gd 0.000 0.000 0.000 [4 per cell]
In 0.000 0.000 0.500 [4 per cell]

Record 19
Entry from Alexandria via LeMat-Bulk: a geometry-optimized Pm2GdIn structure (PBE).

## Properties
Energy of formation from the pure elements, eV/atom: -0.185
Energy above the lowest structure with this stoichiometry, kJ per mole of atoms: 10.07

Lattice parameters (Å, degrees): 4.188 4.188 6.989 90.00 90.00 90.00
Space group P4/mmm (No. 123)
Symmetry-distinct sites (fractional):
Pm 0.000 0.000 0.234 [2 per cell]
Gd 0.500 0.500 0.500 [1 per cell]
In 0.500 0.500 0.000 [1 per cell]

Record 20
Entry from Alexandria via LeMat-Bulk: a geometry-optimized PmPrGdIn structure (PBE).

## Properties
Energy of formation from the pure elements, eV/atom: -0.177

Lattice parameters (Å, degrees): 7.885 7.885 7.885 90.00 90.00 90.00
Space group F-43m (No. 216)
Symmetry-distinct sites (fractional):
Pm 0.000 0.000 0.000 [4 per cell]
Pr 0.000 0.000 0.500 [4 per cell]
Gd 0.250 0.250 0.250 [4 per cell]
In 0.250 0.250 0.750 [4 per cell]